Model a:
Compound: NbAg2Mo
Source: the Alexandria database
Functional: GGA-PBE
Structure: optimized geometry

Geometry as CIF:
```
data_NbAg2Mo
_chemical_formula_sum 'Nb4 Ag8 Mo4'
_symmetry_space_group_name_H-M 'I -4 2 d'
_symmetry_Int_Tables_number 122
_symmetry_space_group_name_Hall 'I -4 2bw'
_cell_length_a 7.576
_cell_length_b 7.576
_cell_length_c 5.217
_cell_angle_alpha 90.00
_cell_angle_beta 90.00
_cell_angle_gamma 90.00
loop_
_atom_site_label
_atom_site_type_symbol
_atom_site_fract_x
_atom_site_fract_y
_atom_site_fract_z
_atom_site_occupancy
Nb1 Nb 0.000 0.000 0.000 1
Ag1 Ag 0.243 0.250 0.625 1
Mo1 Mo 0.000 0.000 0.500 1
```

Model b:
Compound: NbAg2Mo
Source: the Alexandria database
Functional: GGA-PBE
Structure: optimized geometry

Geometry as CIF:
```
data_NbAg2Mo
_chemical_formula_sum 'Nb4 Ag8 Mo4'
_symmetry_space_group_name_H-M 'F m -3 m'
_symmetry_Int_Tables_number 225
_symmetry_space_group_name_Hall '-F 4 2 3'
_cell_length_a 6.539
_cell_length_b 6.539
_cell_length_c 6.539
_cell_angle_alpha 90.00
_cell_angle_beta 90.00
_cell_angle_gamma 90.00
loop_
_atom_site_label
_atom_site_type_symbol
_atom_site_fract_x
_atom_site_fract_y
_atom_site_fract_z
_atom_site_occupancy
Nb1 Nb 0.000 0.000 0.000 1
Ag1 Ag 0.250 0.250 0.250 1
Mo1 Mo 0.000 0.000 0.500 1
```

Pick the most stable structure from those above. Pick: model b